{
  "formula": "Ce2NdGd",
  "functional": "PBE",
  "state": "optimized geometry",
  "lattice_angstrom": [[5.7017, 0.0000, 0.0000], [2.8509, 4.9378, 0.0000], [2.8509, 1.6459, 4.6554]],
  "species": ["Gd", "Nd", "Ce", "Ce"],
  "frac_coords": [[0.0000, 0.0000, 0.0000], [0.5000, 0.5000, 0.5000], [0.2500, 0.2500, 0.2500], [0.7500, 0.7500, 0.7500]],
  "delta_e_f_ev_per_atom": 0.256,
  "total_magnetization_mub_per_fu": 10.88,
  "n_ef_per_ev_atom": 4.23,
  "sg": "Fm-3m",
  "e_above_lowest_polymorph_mev_per_atom": 139.8
}


{
  "formula": "Ce2NdGd",
  "functional": "PBE",
  "state": "optimized geometry",
  "lattice_angstrom": [[5.1429, 0.0000, 0.0000], [0.0000, 4.9340, 0.0000], [0.0000, 0.0000, 4.9340]],
  "species": ["Gd", "Nd", "Ce", "Ce"],
  "frac_coords": [[0.5000, 0.0000, 0.0000], [0.5000, 0.5000, 0.5000], [0.0000, 0.0000, 0.5000], [0.0000, 0.5000, 0.0000]],
  "delta_e_f_ev_per_atom": 0.116,
  "total_magnetization_mub_per_fu": 8.86,
  "n_ef_per_ev_atom": 2.78,
  "sg": "P4/mmm",
  "e_above_lowest_polymorph_mev_per_atom": 0.0
}


{
  "formula": "CeNdGd2",
  "functional": "PBE",
  "state": "optimized geometry",
  "lattice_angstrom": [[3.5613, 0.0000, 0.0000], [0.0000, 3.5613, 0.0000], [0.0000, 0.0000, 10.1279]],
  "species": ["Gd", "Gd", "Nd", "Ce"],
  "frac_coords": [[0.0000, 0.0000, 0.7625], [0.0000, 0.0000, 0.2375], [0.5000, 0.5000, 0.5000], [0.5000, 0.5000, 0.0000]],
  "delta_e_f_ev_per_atom": 0.060,
  "total_magnetization_mub_per_fu": 13.73,
  "n_ef_per_ev_atom": 2.07,
  "sg": "P4/mmm",
  "e_above_lowest_polymorph_mev_per_atom": 0.0
}


{
  "formula": "CeNdGd2",
  "functional": "PBE",
  "state": "optimized geometry",
  "lattice_angstrom": [[5.7187, 0.0000, 0.0000], [2.8594, 4.9526, 0.0000], [2.8594, 1.6509, 4.6693]],
  "species": ["Gd", "Gd", "Nd", "Ce"],
  "frac_coords": [[0.2500, 0.2500, 0.2500], [0.7500, 0.7500, 0.7500], [0.5000, 0.5000, 0.5000], [0.0000, 0.0000, 0.0000]],
  "delta_e_f_ev_per_atom": 0.181,
  "total_magnetization_mub_per_fu": 14.29,
  "n_ef_per_ev_atom": 3.05,
  "sg": "Fm-3m",
  "e_above_lowest_polymorph_mev_per_atom": 121.1
}


{
  "formula": "CeNdGd2",
  "functional": "PBE",
  "state": "optimized geometry",
  "lattice_angstrom": [[5.0635, 0.0000, 0.0000], [0.0000, 5.0664, 0.0000], [0.0000, 0.0000, 5.0664]],
  "species": ["Gd", "Gd", "Nd", "Ce"],
  "frac_coords": [[0.0000, 0.0000, 0.5000], [0.0000, 0.5000, 0.0000], [0.5000, 0.0000, 0.0000], [0.5000, 0.5000, 0.5000]],
  "delta_e_f_ev_per_atom": 0.080,
  "total_magnetization_mub_per_fu": 13.77,
  "n_ef_per_ev_atom": 2.36,
  "sg": "P4/mmm",
  "e_above_lowest_polymorph_mev_per_atom": 20.1
}


{
  "formula": "CeNdGd2",
  "functional": "PBE",
  "state": "optimized geometry",
  "lattice_angstrom": [[-1.9811, 2.3035, -1.7164], [-3.4380, -0.5254, -0.2841], [-3.6314, 6.8539, 9.8423]],
  "species": ["Gd", "Gd", "Nd", "Ce"],
  "frac_coords": [[0.0917, 0.0917, 0.7250], [0.9083, 0.9083, 0.2750], [0.0000, 0.0000, 0.0000], [0.5000, 0.5000, 0.5000]],
  "delta_e_f_ev_per_atom": 0.165,
  "total_magnetization_mub_per_fu": 14.44,
  "n_ef_per_ev_atom": 1.69,
  "sg": "R-3m",
  "e_above_lowest_polymorph_mev_per_atom": 105.5
}


{
  "formula": "CeNdGdPa",
  "functional": "PBE",
  "state": "optimized geometry",
  "lattice_angstrom": [[5.5810, 0.0000, 0.0000], [2.7905, 4.8333, 0.0000], [2.7905, 1.6111, 4.5569]],
  "species": ["Gd", "Pa", "Nd", "Ce"],
  "frac_coords": [[0.2500, 0.2500, 0.2500], [0.7500, 0.7500, 0.7500], [0.5000, 0.5000, 0.5000], [0.0000, 0.0000, 0.0000]],
  "delta_e_f_ev_per_atom": 0.379,
  "total_magnetization_mub_per_fu": 11.50,
  "n_ef_per_ev_atom": 3.06,
  "sg": "F-43m"
}


{
  "formula": "CeNdGdPu",
  "functional": "PBE",
  "state": "optimized geometry",
  "lattice_angstrom": [[-0.4917, 1.4221, 5.3848], [-5.0154, 1.3004, 2.1013], [-2.5126, -3.4724, 3.5903]],
  "species": ["Gd", "Nd", "Ce", "Pu"],
  "frac_coords": [[0.0000, 0.0000, 0.0000], [0.2500, 0.2500, 0.2500], [0.5000, 0.5000, 0.5000], [0.7500, 0.7500, 0.7500]],
  "delta_e_f_ev_per_atom": 0.227,
  "total_magnetization_mub_per_fu": 0.87,
  "n_ef_per_ev_atom": 2.91,
  "sg": "F-43m"
}